This record from Alexandria via LeMat-Bulk describes LaMoAu2 after structural relaxation. The functional is PBE.

Values from the calculation:
Energy of formation ... 2.54 kcal/mol of atoms
Volume ... 22.0 Å³ per atom
Relative energy among the computed polymorphs ... 85.5 meV per atom

Unit cell a=3.671 b=3.666 c=6.542 alpha=90.00 beta=90.00 gamma=90.00
Each line ends with the local moment (μB).
Fractional positions:
1 Au 0.500 0.500 0.228  0.03
2 Au 0.000 0.000 0.975  0.07
3 La 0.000 0.000 0.494  0.01
4 Mo 0.500 0.500 0.803  1.28

This record from Alexandria via LeMat-Bulk describes LaMoAu after structural relaxation. The functional is PBE.

Values from the calculation:
Energy of formation ... 4.08 kcal/mol of atoms
Volume ... 24.9 Å³ per atom
Relative energy among the computed polymorphs ... 0.0 meV per atom

Unit cell a=4.573 b=4.573 c=4.125 alpha=90.00 beta=90.00 gamma=120.00
Each line ends with the local moment (μB).
Fractional positions:
1 Au 0.000 0.000 0.833  0.07
2 Mo 0.333 0.667 0.833  1.51
3 La 0.667 0.333 0.333  0.05

This record from Alexandria via LeMat-Bulk describes La2MoAu after structural relaxation. The functional is PBE.

Values from the calculation:
Energy of formation ... 3.27 kcal/mol of atoms
Volume ... 27.6 Å³ per atom
Relative energy among the computed polymorphs ... 186.3 meV per atom

Unit cell a=3.745 b=3.745 c=7.868 alpha=90.00 beta=90.00 gamma=90.00
Fractional positions:
1 Au 0.500 0.500 0.702
2 La 0.500 0.500 0.318
3 La 0.000 0.000 0.910
4 Mo 0.000 0.000 0.569

This record from Alexandria via LeMat-Bulk describes LaMoAu2 after structural relaxation. The functional is PBE.

Values from the calculation:
Energy of formation ... 1.61 kcal/mol of atoms
Volume ... 22.5 Å³ per atom
Relative energy among the computed polymorphs ... 45.5 meV per atom

Unit cell a=5.028 b=5.028 c=5.028 alpha=60.00 beta=60.00 gamma=60.00
Each line ends with the local moment (μB).
Fractional positions:
1 Au 0.250 0.250 0.250  0.03
2 Au 0.750 0.750 0.750  0.03
3 La 0.500 0.500 0.500  0.02
4 Mo 0.000 0.000 0.000  2.35

This record from Alexandria via LeMat-Bulk describes La2MoAu after structural relaxation. The functional is PBE.

Values from the calculation:
Energy of formation ... 4.30 kcal/mol of atoms
Volume ... 23.2 Å³ per atom
Relative energy among the computed polymorphs ... 230.8 meV per atom

Unit cell a=5.079 b=5.079 c=5.079 alpha=60.00 beta=60.00 gamma=60.00
Each line ends with the local moment (μB).
Fractional positions:
1 La 0.000 0.000 0.000  0.03
2 La 0.250 0.250 0.250  -0.07
3 Mo 0.750 0.750 0.750  1.15
4 Au 0.500 0.500 0.500  0.03

This record from Alexandria via LeMat-Bulk describes LaMo3Au after structural relaxation. The functional is PBE.

Values from the calculation:
Energy of formation ... 38.75 kcal/mol of atoms
Volume ... 24.5 Å³ per atom
Relative energy among the computed polymorphs ... 0.0 meV per atom

Unit cell a=4.964 b=4.964 c=4.964 alpha=90.00 beta=90.00 gamma=90.00
Fractional positions:
1 Au 0.000 0.000 0.000
2 Mo 0.000 0.000 0.500
3 Mo 0.000 0.500 0.000
4 Mo 0.500 0.000 0.000
5 La 0.500 0.500 0.500